Below is a relaxed Rb2MnAlS4 crystal, with properties calculated at the PBE level.

## Properties
ΔE_f (raw)	-8.39	eV per formula unit
symmetry	Fddd, No. 70
crystal system	orthorhombic

a b c (Å): 5.856 7.624 11.987
angles (deg): 84.62 75.86 67.41
Last column: magnetic moment on the atom in μB.
Fractional positions:
Rb (0.178, 0.000, 0.643)  0.00
Rb (0.822, 0.000, 0.357)  0.00
Rb (0.572, 0.500, 0.857)  0.00
Rb (0.928, 0.500, 0.143)  0.00
Mn (0.250, 0.500, 0.500)  3.48
Mn (0.500, 0.000, 0.000)  3.48
Al (0.750, 0.500, 0.500)  0.01
Al (0.000, 0.000, 0.000)  0.01
S (0.294, 0.808, 0.095)  0.02
S (0.196, 0.192, 0.905)  0.02
S (0.899, 0.808, 0.905)  0.02
S (0.612, 0.192, 0.095)  0.02
S (0.456, 0.692, 0.405)  0.02
S (0.554, 0.308, 0.595)  0.02
S (0.851, 0.692, 0.595)  0.02
S (0.138, 0.308, 0.405)  0.02